<w>
P2RhO2 | GGA-PBE | optimized geometry

Properties
DOS at the Fermi energy   1.69 states/eV/cell

a = 3.8943 Å, b = 3.8943 Å, c = 3.9300 Å
α = 90.00°, β = 90.00°, γ = 90.00°
Closest atoms and distances in Å follow each position.
Positions (direct):
P 0.0000 0.5000 0.0000  2 O 1.95
P 0.5000 0.0000 0.0000  2 O 1.95
Rh 0.0000 0.0000 0.5000  4 O 2.75, 8 P 2.77
O 0.5000 0.5000 0.0000  4 P 1.95, 2 O 1.97
O 0.5000 0.5000 0.5000  2 O 1.97

---

<x>
P2RhO2 | GGA-PBE | optimized geometry

Properties
DOS at the Fermi energy   4.01 states/eV/cell

a = 4.6624 Å, b = 4.6624 Å, c = 3.6813 Å
α = 90.00°, β = 90.00°, γ = 90.00°
Closest atoms and distances in Å follow each position.
Positions (direct):
P 0.0000 0.5000 0.0000  2 Rh 2.33
P 0.5000 0.0000 0.0000  2 Rh 2.33
Rh 0.0000 0.0000 0.0000  2 O 1.84
O 0.0000 0.0000 0.5000  2 Rh 1.84
O 0.5000 0.5000 0.5000  8 P 2.97, 4 O 3.30

---

<y>
P2RhO2 | GGA-PBE | optimized geometry

Properties
DOS at the Fermi energy   5.06 states/eV/cell

a = 3.3113 Å, b = 3.3113 Å, c = 6.5513 Å
α = 90.00°, β = 90.00°, γ = 90.00°
Closest atoms and distances in Å follow each position.
Positions (direct):
P 0.0000 0.0000 0.0000  4 Rh 2.34
P 0.0000 0.0000 0.5000  4 O 1.66
Rh 0.5000 0.5000 0.0000  4 P 2.34
O 0.0000 0.5000 0.5000  2 P 1.66
O 0.5000 0.0000 0.5000  2 P 1.66

---

<z>
P2RhO2 | GGA-PBE | optimized geometry

Properties
DOS at the Fermi energy   4.15 states/eV/cell

a = 3.7067 Å, b = 3.7067 Å, c = 5.3980 Å
α = 90.00°, β = 90.00°, γ = 90.00°
Closest atoms and distances in Å follow each position.
Positions (direct):
P 0.0000 0.0000 0.0000  4 P 2.62, 2 Rh 2.70
P 0.5000 0.5000 0.0000  4 P 2.62
Rh 0.0000 0.0000 0.5000  4 O 1.85
O 0.0000 0.5000 0.5000  2 Rh 1.85
O 0.5000 0.0000 0.5000  2 Rh 1.85

---

Relative energies, unit kJ/mol of atoms: <w> 87.1; <x> 101.4; <y> 0.0; <z> 50.0

---

<w>
P2RuRhO | GGA-PBE | optimized geometry

Properties
DOS at the Fermi energy   4.42 states/eV/cell

a = 4.7095 Å, b = 4.7095 Å, c = 3.5696 Å
α = 90.00°, β = 90.00°, γ = 90.00°
Closest atoms and distances in Å follow each position.
Positions (direct):
P 0.0000 0.5000 0.0000  2 Ru 2.35
P 0.5000 0.0000 0.0000  2 Ru 2.35
Ru 0.0000 0.0000 0.0000  2 O 1.78
Rh 0.5000 0.5000 0.5000  8 P 2.95
O 0.0000 0.0000 0.5000  2 Ru 1.78

---

<x>
P2RuRhO | GGA-PBE | optimized geometry

Properties
DOS at the Fermi energy   5.00 states/eV/cell

a = 4.7091 Å, b = 4.7091 Å, c = 3.5791 Å
α = 90.00°, β = 90.00°, γ = 90.00°
Closest atoms and distances in Å follow each position.
Positions (direct):
P 0.0000 0.5000 0.0000  2 Rh 2.35
P 0.5000 0.0000 0.0000  2 Rh 2.35
Ru 0.0000 0.0000 0.5000  8 P 2.96
Rh 0.5000 0.5000 0.0000  2 O 1.79
O 0.5000 0.5000 0.5000  2 Rh 1.79

---

Relative energies, unit kJ/mol of atoms: <w> 0.0; <x> 31.2

---

<w>
PRhS2O | GGA-PBE | optimized geometry

Properties
DOS at the Fermi energy   8.65 states/eV/cell

a = 4.5436 Å, b = 4.5436 Å, c = 4.6524 Å
α = 90.00°, β = 90.00°, γ = 90.00°
Closest atoms and distances in Å follow each position.
Positions (direct):
P 0.0000 0.0000 0.0000  2 Rh 2.33
Rh 0.0000 0.0000 0.5000  4 S 2.27, 2 P 2.33
S 0.0000 0.5000 0.5000  2 Rh 2.27
S 0.5000 0.0000 0.5000  2 Rh 2.27
O 0.5000 0.5000 0.0000  4 P 3.21, 8 S 3.25

---

<x>
PRhS2O | GGA-PBE | optimized geometry

Properties
DOS at the Fermi energy   4.73 states/eV/cell

a = 4.2539 Å, b = 4.2539 Å, c = 3.9470 Å
α = 90.00°, β = 90.00°, γ = 90.00°
Closest atoms and distances in Å follow each position.
Positions (direct):
P 0.0000 0.0000 0.0000  2 O 1.97
Rh 0.5000 0.5000 0.0000  8 S 2.90, 4 P 3.01
S 0.0000 0.5000 0.5000  2 O 2.13
S 0.5000 0.0000 0.5000  2 O 2.13
O 0.0000 0.0000 0.5000  2 P 1.97, 4 S 2.13

---

Relative energies, unit kJ/mol of atoms: <w> 29.7; <x> 0.0